Entry 1:
TlNiAgSe3 after structural relaxation. Source: the Open Quantum Materials Database, functional PBE.

Lattice parameters (Å, degrees): 3.5803 14.3008 10.6493 90.00 90.00 90.00
Space group Cmcm (No. 63)
Unique sites:
Tl 0.0000 0.2076 0.2500 x4
Ni 0.0000 0.5000 0.0000 x4
Ag 0.0000 0.1239 0.7500 x4
Se 0.0000 0.1103 0.5080 x8
Se 0.0000 0.4707 0.7500 x4

Calculated values
Raw total energy in eV per atom: -3.679

***

Entry 2:
Pa2GeSb after structural relaxation. Source: the Open Quantum Materials Database, functional PBE.

Lattice parameters (Å, degrees): 4.2213 4.2213 20.9995 90.00 90.00 120.00
Space group R-3m (No. 166, hexagonal axes)
Unique sites:
Pa 0.0000 0.0000 0.2421 x6
Ge 0.0000 0.0000 0.5000 x3
Sb 0.0000 0.0000 0.0000 x3

Calculated values
Raw total energy in eV per atom: -7.397

***

Entry 3:
Y2BiAsPd2 after structural relaxation. Source: the Open Quantum Materials Database, functional PBE.

Lattice parameters (Å, degrees): 11.3482 4.6408 11.3532 90.00 109.53 90.00
Space group Pm (No. 6)
Unique sites:
Y 0.0000 0.0000 0.0000 x1
Y 0.1149 0.5000 0.3709 x1
Y 0.2373 0.0000 0.7427 x1
Y 0.3738 0.5000 0.1176 x1
Y 0.5082 0.0000 0.4915 x1
Y 0.6345 0.5000 0.8807 x1
Y 0.7546 0.0000 0.2514 x1
Y 0.8764 0.5000 0.6170 x1
Bi 0.2496 0.0000 0.2472 x1
Bi 0.3749 0.5000 0.6209 x1
Bi 0.5005 0.0000 0.9973 x1
Bi 0.7528 0.0000 0.7472 x1
As 0.1232 0.5000 0.8703 x1
As 0.6275 0.5000 0.3712 x1
As 0.8762 0.5000 0.1240 x1
As 0.9977 0.0000 0.4951 x1
Pd 0.1175 0.5000 0.6195 x1
Pd 0.2420 0.0000 0.9892 x1
Pd 0.3816 0.5000 0.3700 x1
Pd 0.5001 0.0000 0.7468 x1
Pd 0.6336 0.5000 0.1325 x1
Pd 0.7551 0.0000 0.4925 x1
Pd 0.8858 0.5000 0.8771 x1
Pd 0.9945 0.0000 0.2471 x1

Calculated values
Raw total energy in eV per atom: -6.331

***

Entry 4:
NaHoSO after structural relaxation. Source: the Open Quantum Materials Database, functional PBE.

Lattice parameters (Å, degrees): 5.5165 5.5157 10.3785 90.00 104.89 90.00
Space group P2_1 (No. 4)
Unique sites:
Na 0.0462 0.0000 0.0958 x2
Na 0.4482 0.9942 0.9043 x2
Ho 0.0518 0.2443 0.6080 x2
Ho 0.4480 0.2443 0.3919 x2
S 0.0951 0.4937 0.1853 x2
S 0.4069 0.4918 0.8146 x2
O 0.2500 0.4943 0.4999 x2
O 0.2501 0.9951 0.5000 x2

Calculated values
Raw total energy in eV per atom: -6.070
Excess energy over the best structure of this formula in the dataset in meV/atom: 3

***

Entry 5:
HfInMo after structural relaxation. Source: the Open Quantum Materials Database, functional PBE.

Lattice parameters (Å, degrees): 6.5794 6.5794 6.5794 90.00 90.00 90.00
Space group F-43m (No. 216)
Unique sites:
Hf 0.0000 0.0000 0.0000 x4
In 0.2500 0.2500 0.7500 x4
Mo 0.2500 0.2500 0.2500 x4

Calculated values
Raw total energy in eV per atom: -6.837
Excess energy over the best structure of this formula in the dataset in meV/atom: 340

***

Entry 6:
Nd3Sn3Ir2Pd after structural relaxation. Source: the Open Quantum Materials Database, functional PBE.

Lattice parameters (Å, degrees): 7.5591 7.5591 4.1476 90.00 90.00 120.00
Space group P-62m (No. 189)
Unique sites:
Nd 0.0000 0.4134 0.0000 x3
Sn 0.0000 0.7439 0.5000 x3
Ir 0.3333 0.6667 0.5000 x2
Pd 0.0000 0.0000 0.0000 x1

Calculated values
Raw total energy in eV per atom: -6.279